This record from Alexandria via LeMat-Bulk describes AlCu2P after structural relaxation. The functional is PBE-GGA.

Calculated values
For the energy above the most stable polymorph in this dataset, the calculation gives 5.9 kJ/mol of atoms. The calculated volume comes out at 13.31 Å³ per atom. The calculation puts the formation enthalpy at 0 K at 0.031 eV per atom. The symmetry is No. 119. Its calculated total energy is -17.2 eV for the cell shown. For the total moment, the calculation gives 0.0 μB/cell. The crystal system is tetragonal.

Lattice parameters (Å, degrees): 4.6747 4.6747 4.6747 133.23 133.28 68.25
Element x y z (fractional)
Cu: 0.7499 0.2499 0.5000
P: 0.5002 0.5002 0.0000
Al: 0.2500 0.7500 0.5000
Cu: 0.9999 0.9999 0.0000

***

This record from Alexandria via LeMat-Bulk describes ZrTc3 after structural relaxation. The functional is PBE-GGA.

Calculated values
The calculated volume comes out at 16.40 Å³ per atom. The calculation puts the formation enthalpy at 0 K at 0.117 eV per atom. The symmetry is No. 139. Its calculated total energy is -78.4 eV for the cell shown. For the total moment, the calculation gives 0.0 μB/cell. The crystal system is tetragonal.

Lattice parameters (Å, degrees): 8.9839 8.9839 8.9839 154.81 154.81 35.93
Element x y z (fractional)
Tc: 0.7500 0.2500 0.5000
Tc: 0.8606 0.8606 0.0000
Zr: 0.6199 0.6199 0.0000
Tc: 0.5000 0.0000 0.5000
Tc: 0.2500 0.7500 0.5000
Zr: 0.3801 0.3801 0.0000
Tc: 0.1394 0.1394 0.0000
Tc: 0.0000 0.5000 0.5000

***

This record from Alexandria via LeMat-Bulk describes CeSm2AlN after structural relaxation. The functional is PBE-GGA.

Calculated values
The calculated volume comes out at 23.47 Å³ per atom. The symmetry is No. 123. Its calculated total energy is -31.3 eV for the cell shown. The calculation puts the uncorrected formation energy at -74.5 kJ/mol of atoms. For the total moment, the calculation gives 0.5 μB/cell. The crystal system is tetragonal.

Lattice parameters (Å, degrees): 4.7957 4.9472 4.9472 90.00 90.00 90.00
Each line ends with the local moment (μB).
Element x y z (fractional)
Sm: 0.0000 0.0000 0.5000  0.02
Ce: 0.5000 0.0000 0.0000  0.47
Sm: 0.0000 0.5000 0.0000  0.02
N: 0.0000 0.0000 0.0000  -0.02
Al: 0.5000 0.5000 0.5000  -0.01

***

This record from Alexandria via LeMat-Bulk describes TmMgCl after structural relaxation. The functional is PBE-GGA.

Calculated values
The calculated volume comes out at 30.76 Å³ per atom. The symmetry is No. 38. Its calculated total energy is -19.2 eV for the cell shown. The calculation puts the uncorrected formation energy at -54.4 kJ/mol of atoms. For the total moment, the calculation gives 0.0 μB/cell. The crystal system is orthorhombic.

Lattice parameters (Å, degrees): 3.4292 3.4307 18.1099 90.00 90.00 119.99
Element x y z (fractional)
Tm: 0.6696 0.3392 0.3456
Mg: 0.5527 0.1055 0.0000
Mg: 0.3356 0.6712 0.5000
Tm: 0.6696 0.3392 0.6544
Cl: 0.2195 0.4391 0.9138
Cl: 0.2195 0.4391 0.0862

***

This record from Alexandria via LeMat-Bulk describes LiMo2Cl after structural relaxation. The functional is PBE-GGA.

Calculated values
For the energy above the most stable polymorph in this dataset, the calculation gives 41.5 kJ/mol of atoms. The calculated volume comes out at 18.58 Å³ per atom. The symmetry is No. 10. Its calculated total energy is -24.1 eV for the cell shown. The calculation puts the uncorrected formation energy at 31.7 kJ/mol of atoms. For the total moment, the calculation gives 0.0 μB/cell. The crystal system is monoclinic.

Lattice parameters (Å, degrees): 5.6745 3.1995 4.0959 91.91 90.00 90.00
Element x y z (fractional)
Mo: 0.0000 0.0082 0.9542
Li: 0.5000 0.7500 0.7500
Mo: 0.0000 0.4918 0.5458
Cl: 0.5000 0.2500 0.2500

***

This record from Alexandria via LeMat-Bulk describes CuAuBr6 after structural relaxation. The functional is PBE-GGA.

Calculated values
The calculated volume comes out at 28.48 Å³ per atom. The symmetry is No. 2. Its calculated total energy is -17.6 eV for the cell shown. The calculation puts the uncorrected formation energy at -2.6 kJ/mol of atoms. For the total moment, the calculation gives 0.0 μB/cell. The crystal system is triclinic.

Lattice parameters (Å, degrees): 6.8131 6.8112 6.9055 60.37 60.44 59.92
Element x y z (fractional)
Br: 0.8780 0.6158 0.2592
Br: 0.1220 0.3842 0.7408
Au: 0.0000 0.0000 0.0000
Br: 0.7522 0.1231 0.7399
Br: 0.6158 0.2474 0.2593
Br: 0.3842 0.7526 0.7407
Br: 0.2478 0.8769 0.2601
Cu: 0.5000 0.5000 0.5000

***

This record from Alexandria via LeMat-Bulk describes CaAsRh2 after structural relaxation. The functional is PBE-GGA.

Calculated values
The calculated volume comes out at 19.77 Å³ per atom. The calculation puts the formation enthalpy at 0 K at -0.556 eV per atom. The symmetry is No. 12. Its calculated total energy is -23.6 eV for the cell shown. For the total moment, the calculation gives 0.0 μB/cell. The crystal system is monoclinic.

Lattice parameters (Å, degrees): 4.2856 4.2856 5.5494 67.39 67.39 59.98
Element x y z (fractional)
As: 0.7500 0.7500 0.7500
Rh: 0.4510 0.4510 0.6465
Ca: 0.2500 0.2500 0.2500
Rh: 0.0490 0.0490 0.8535

***

This record from Alexandria via LeMat-Bulk describes NaPS2O after structural relaxation. The functional is PBE-GGA.

Calculated values
For the energy above the most stable polymorph in this dataset, the calculation gives 144.0 kJ/mol of atoms. The calculated volume comes out at 23.38 Å³ per atom. The symmetry is No. 123. Its calculated total energy is -11.0 eV for the cell shown. The calculation puts the uncorrected formation energy at 172.2 kJ/mol of atoms. For the total moment, the calculation gives 0.3 μB/cell. The crystal system is tetragonal.

Lattice parameters (Å, degrees): 4.8377 4.8377 4.9954 90.00 90.00 90.00
Each line ends with the local moment (μB).
Element x y z (fractional)
S: 0.5000 0.0000 0.0000  0.17
P: 0.0000 0.0000 0.5000  -0.24
Na: 0.0000 0.0000 0.0000  0.00
O: 0.5000 0.5000 0.5000  -0.25
S: 0.0000 0.5000 0.0000  0.17

***

Repeat the seventh record exactly.
This record from Alexandria via LeMat-Bulk describes CaAsRh2 after structural relaxation. The functional is PBE-GGA.

Calculated values
The calculated volume comes out at 19.77 Å³ per atom. The calculation puts the formation enthalpy at 0 K at -0.556 eV per atom. The symmetry is No. 12. Its calculated total energy is -23.6 eV for the cell shown. For the total moment, the calculation gives 0.0 μB/cell. The crystal system is monoclinic.

Lattice parameters (Å, degrees): 4.2856 4.2856 5.5494 67.39 67.39 59.98
Element x y z (fractional)
As: 0.7500 0.7500 0.7500
Rh: 0.4510 0.4510 0.6465
Ca: 0.2500 0.2500 0.2500
Rh: 0.0490 0.0490 0.8535

***

- Which of these has the lowest calculated total energy?
  ZrTc3

***

- calculated total energy of number 8 (NaPS2O)?
  -11.0 eV for the cell shown